1.
VASP calculation (PBE) on crystalline Pm2CdCu2O6 at its relaxed geometry.

Cell: 5.8175 5.8175 17.2641 Å, 90.00 90.00 120.00°
Space group R-3m (No. 166, hexagonal axes)
Unique sites:
Pm  0.0000  0.0000  0.1988 x6
Cd  0.0000  0.0000  0.0000 x3
Cu  0.0000  0.0000  0.4240 x6
O  0.0314  0.5157  0.7662 x18

***

2.
VASP calculation (PBE) on crystalline PrCd2CuO4 at its relaxed geometry.

Cell: 3.4110 11.3778 11.3913 Å, 90.00 90.00 90.00°
Space group Cmcm (No. 63)
Unique sites:
Pr  0.0000  0.1195  0.2500 x4
Cd  0.0000  0.3721  0.0500 x8
Cu  0.0000  0.1392  0.7500 x4
O  0.0000  0.0000  0.0000 x4
O  0.0000  0.2804  0.6272 x8
O  0.0000  0.4640  0.2500 x4

***

3.
VASP calculation (PBE) on crystalline Pr2CdCuO5 at its relaxed geometry.

Cell: 6.8028 6.8028 5.6652 Å, 90.00 90.00 90.00°
Space group P4/mbm (No. 127)
Unique sites:
Pr  0.1729  0.3271  0.0000 x4
Cd  0.0000  0.0000  0.5000 x2
Cu  0.0000  0.5000  0.5000 x2
O  0.0000  0.0000  0.0000 x2
O  0.1381  0.6381  0.2599 x8

***

no.,formation energy from raw total energies (eV/atom),total energy (eV per atom)
1,-1.53,-5.93
2,-1.47,-5.29
3,-1.97,-6.34